Record 1
A relaxed CsN2Cl crystal, computed with GGA-PBE.

* crystal system: cubic
* formation energy from raw total energies: 1.628 eV per atom
* volume: 111 Å³/cell
* final energy: -12.84 eV per cell

Lattice parameters (Å, degrees): 5.3910 5.3910 5.3910 60.00 60.00 60.00
Each line ends with the local moment (μB).
Atoms (fractional coordinates):
Cs (0.5000, 0.5000, 0.5000)  0.06
N (0.2500, 0.2500, 0.2500)  1.85
N (0.7500, 0.7500, 0.7500)  1.85
Cl (0.0000, 0.0000, 0.0000)  0.27

Record 2
A relaxed Sr2TlZnO5 crystal, computed with GGA-PBE.

* crystal system: orthorhombic
* formation energy from raw total energies: -1.675 eV per atom
* volume: 263 Å³/cell
* final energy: -93.74 eV per cell

Lattice parameters (Å, degrees): 3.4630 7.6000 10.2688 90.00 90.00 103.17
Each line ends with the local moment (μB).
Atoms (fractional coordinates):
Sr (0.8751, 0.7502, 0.7961)  0.00
Sr (0.1134, 0.2267, 0.6983)  0.00
Sr (0.1249, 0.2498, 0.2961)  0.00
Sr (0.8866, 0.7733, 0.1983)  0.00
Tl (0.7849, 0.5697, 0.5046)  0.00
Tl (0.2151, 0.4303, 0.0046)  0.00
Zn (0.5132, 0.0264, 0.9768)  0.06
Zn (0.4868, 0.9736, 0.4768)  0.06
O (0.3748, 0.7496, 0.0055)  0.13
O (0.7052, 0.4104, 0.8604)  0.15
O (0.5012, 0.0024, 0.7867)  0.22
O (0.2846, 0.5692, 0.6529)  0.18
O (0.9453, 0.8906, 0.5428)  0.18
O (0.6252, 0.2504, 0.5055)  0.13
O (0.2948, 0.5896, 0.3604)  0.15
O (0.4988, 0.9976, 0.2867)  0.22
O (0.7154, 0.4308, 0.1529)  0.18
O (0.0547, 0.1094, 0.0428)  0.18

Record 3
A relaxed Rb2Ag2GeI6 crystal, computed with GGA-PBE.

* crystal system: monoclinic
* formation energy from raw total energies: -0.678 eV per atom
* volume: 472 Å³/cell
* final energy: -29.02 eV per cell

Lattice parameters (Å, degrees): 8.6147 8.6750 8.4941 116.67 90.00 119.77
Atoms (fractional coordinates):
Rb (0.7415, 0.4830, 0.2059)
Rb (0.2585, 0.5170, 0.7941)
Ag (0.9421, 0.8843, 0.7921)
Ag (0.0579, 0.1157, 0.2079)
Ge (0.5000, 0.0000, 0.5000)
I (0.7277, 0.4554, 0.6252)
I (0.2057, 0.8915, 0.2014)
I (0.3142, 0.1085, 0.7986)
I (0.7943, 0.1085, 0.7986)
I (0.6858, 0.8915, 0.2014)
I (0.2723, 0.5446, 0.3748)

Record 4
A relaxed Sm5Er12Tm crystal, computed with GGA-PBE.

* crystal system: monoclinic
* ΔH_f (0 K): 7 meV per atom
* volume: 563 Å³/cell
* final energy: -82.69 eV per cell

Lattice parameters (Å, degrees): 6.1467 6.1467 17.3134 93.39 93.39 119.99
Atoms (fractional coordinates):
Sm (0.5000, 0.5000, 0.5000)
Sm (0.8333, 0.1667, 0.5000)
Sm (0.1667, 0.8333, 0.5000)
Sm (0.3334, 0.6666, 0.0000)
Sm (0.6666, 0.3334, 0.0000)
Er (0.2228, 0.2228, 0.6677)
Er (0.7772, 0.7772, 0.3323)
Er (0.3883, 0.3883, 0.1685)
Er (0.6117, 0.6117, 0.8315)
Er (0.7231, 0.0557, 0.1685)
Er (0.9443, 0.2769, 0.8315)
Er (0.0557, 0.7231, 0.1685)
Er (0.2769, 0.9443, 0.8315)
Er (0.4444, 0.1108, 0.3323)
Er (0.1108, 0.4444, 0.3323)
Er (0.8892, 0.5556, 0.6677)
Er (0.5556, 0.8892, 0.6677)
Tm (0.0000, 0.0000, 0.0000)

Record 5
A relaxed LiGa2AgSe4 crystal, computed with GGA-PBE.

* crystal system: orthorhombic
* formation energy from raw total energies: -0.661 eV per atom
* volume: 198 Å³/cell
* final energy: -30.04 eV per cell

Lattice parameters (Å, degrees): 5.6284 5.6284 7.3993 112.36 112.36 89.99
Atoms (fractional coordinates):
Li (0.5003, 0.5003, 0.0006)
Ga (0.7500, 0.2500, 0.5001)
Ga (0.2500, 0.7500, 0.5001)
Ag (0.9997, 0.9997, 0.9994)
Se (0.6073, 0.6073, 0.7329)
Se (0.3924, 0.8749, 0.2672)
Se (0.8749, 0.3924, 0.2672)
Se (0.1257, 0.1257, 0.7329)

Record 6
A relaxed Al2InSbSe crystal, computed with GGA-PBE.

* crystal system: tetragonal
* formation energy from raw total energies: 0.609 eV per atom
* volume: 166 Å³/cell
* final energy: -14.78 eV per cell

Lattice parameters (Å, degrees): 5.3929 5.7019 5.3929 90.00 90.00 90.00
Atoms (fractional coordinates):
Sb (0.0000, 0.0000, 0.0000)
Al (0.0000, 0.0000, 0.5000)
Al (0.5000, 0.0000, 0.0000)
Se (0.5000, 0.5000, 0.5000)
In (0.0000, 0.5000, 0.0000)

Record 7
A relaxed CsTlSn crystal, computed with GGA-PBE.

* crystal system: trigonal
* ΔH_f (0 K): -135 meV per atom
* volume: 137 Å³/cell
* final energy: -7.63 eV per cell

Lattice parameters (Å, degrees): 6.2630 5.0279 5.0279 120.00 90.00 90.00
Atoms (fractional coordinates):
Cs (0.6654, 0.6667, 0.3333)
Tl (0.2005, 0.3333, 0.6667)
Sn (0.1341, 0.0000, 0.0000)

Record 8
A relaxed LiMnAg2Au crystal, computed with GGA-PBE.

* crystal system: tetragonal
* ΔH_f (0 K): 609 meV per atom
* volume: 89 Å³/cell
* final energy: -17.02 eV per cell

Lattice parameters (Å, degrees): 4.3996 4.5933 4.3996 90.00 90.00 90.00
Each line ends with the local moment (μB).
Atoms (fractional coordinates):
Mn (0.0000, 0.5000, 0.0000)  3.96
Au (0.5000, 0.5000, 0.5000)  -0.03
Ag (0.0000, 0.0000, 0.5000)  -0.03
Ag (0.5000, 0.0000, 0.0000)  -0.02
Li (0.0000, 0.0000, 0.0000)  -0.03

Record 9
A relaxed PHOsN crystal, computed with GGA-PBE.

* crystal system: monoclinic
* volume: 52 Å³/cell
* final energy: -27.42 eV per cell

Lattice parameters (Å, degrees): 2.9538 2.7988 6.4972 90.00 102.24 90.00
Atoms (fractional coordinates):
P (0.3588, 0.5000, 0.6303)
H (0.1562, 0.5000, 0.2391)
Os (0.9697, 0.0000, 0.8663)
N (0.0688, 0.5000, 0.0763)

Record 10
A relaxed YSc3Ta crystal, computed with GGA-PBE.

* crystal system: cubic
* ΔH_f (0 K): 522 meV per atom
* volume: 139 Å³/cell
* final energy: -34.70 eV per cell

Lattice parameters (Å, degrees): 5.1814 5.1814 5.1814 90.00 90.00 90.00
Atoms (fractional coordinates):
Y (0.5000, 0.5000, 0.5000)
Sc (0.0000, 0.5000, 0.0000)
Sc (0.0000, 0.0000, 0.5000)
Sc (0.5000, 0.0000, 0.0000)
Ta (0.0000, 0.0000, 0.0000)

Record 11
A relaxed Hf2Hg2Ir crystal, computed with GGA-PBE.

* crystal system: tetragonal
* ΔH_f (0 K): 727 meV per atom
* volume: 108 Å³/cell
* final energy: -25.74 eV per cell

Lattice parameters (Å, degrees): 3.9646 3.9646 7.3988 74.46 74.46 90.00
Atoms (fractional coordinates):
Ir (0.0000, 0.0000, 0.0000)
Hf (0.7500, 0.2500, 0.5000)
Hf (0.2500, 0.7500, 0.5000)
Hg (0.4046, 0.4046, 0.1907)
Hg (0.5954, 0.5954, 0.8093)

Record 12
A relaxed BaSrSbPd2 crystal, computed with GGA-PBE.

* crystal system: tetragonal
* formation energy from raw total energies: 0.473 eV per atom
* volume: 185 Å³/cell
* final energy: -15.75 eV per cell

Lattice parameters (Å, degrees): 5.1934 6.8724 5.1934 90.00 90.00 90.00
Atoms (fractional coordinates):
Sb (0.5000, 0.5000, 0.5000)
Ba (0.0000, 0.5000, 0.0000)
Pd (0.0000, 0.0000, 0.5000)
Pd (0.5000, 0.0000, 0.0000)
Sr (0.0000, 0.0000, 0.0000)